The following is a DFT calculation (PBE+U) of KCaSmWO6 after structural relaxation.

Computed properties:
N(E_F) (states/eV/cell): 0.00
VASP energy (Ha/atom): -0.2575

```
data_KCaSmWO6
_cell_length_a 8.461
_cell_length_b 8.461
_cell_length_c 8.461
_cell_angle_alpha 90.00
_cell_angle_beta 90.00
_cell_angle_gamma 90.00
_symmetry_space_group_name_H-M 'F -4 3 m'
_symmetry_Int_Tables_number 216
_symmetry_space_group_name_Hall 'F -4 2 3'
loop_
_atom_site_label
_atom_site_type_symbol
_atom_site_fract_x
_atom_site_fract_y
_atom_site_fract_z
K1 K 0.000 0.000 0.000
Ca1 Ca 0.000 0.000 0.500
Sm1 Sm 0.250 0.250 0.250
W1 W 0.250 0.250 0.750
O1 O 0.020 0.250 0.750
```